Entry 1:
! UTaGe PBE relaxed; values from VASP
&SYSTEM
  ibrav = 0, nat = 3, ntyp = 3
/
ATOMIC_SPECIES
Ta 180.95 Ta.upf
Ge 72.64 Ge.upf
U 238.03 U.upf
ATOMIC_POSITIONS angstrom
Ta -0.314 -1.133 2.533
Ge 0.000 0.000 0.000
U -0.943 -3.398 7.600
CELL_PARAMETERS angstrom
2.181 -1.365 3.765
-1.969 0.498 4.083
-1.469 -3.663 2.285
! **SG**: F-43m, No. 216

***

Entry 2:
! Li4IrOsO6 PBE relaxed; values from VASP
&SYSTEM
  ibrav = 0, nat = 12, ntyp = 4
/
ATOMIC_SPECIES
Li 6.94 Li.upf
O 16.00 O.upf
Os 190.23 Os.upf
Ir 192.22 Ir.upf
ATOMIC_POSITIONS angstrom
Li 0.062 -2.175 -1.311
Li 4.554 -0.248 -2.642
Li -1.196 -0.182 -3.026
Li 1.601 -0.214 -2.839
O -1.274 1.901 -3.229
O 1.696 1.929 -3.003
O 0.331 -0.303 -4.436
O 0.132 -0.093 -1.426
O -1.348 -2.262 -2.838
O 1.624 -2.358 -2.667
Os -2.856 -2.141 -1.506
Ir 2.981 -2.208 -1.116
CELL_PARAMETERS angstrom
4.439 -2.225 -1.018
-4.314 -2.124 -1.604
0.263 3.953 -3.244
! **SG**: C2, No. 5

***

Entry 3:
! Nd2Cd4AgAu PBE relaxed; values from VASP
&SYSTEM
  ibrav = 0, nat = 8, ntyp = 4
/
ATOMIC_SPECIES
Cd 112.41 Cd.upf
Ag 107.87 Ag.upf
Nd 144.24 Nd.upf
Au 196.97 Au.upf
ATOMIC_POSITIONS angstrom
Cd 1.771 8.770 2.615
Cd -0.761 1.911 0.383
Cd -1.011 10.229 2.548
Cd -5.127 4.200 0.279
Ag 3.295 6.387 2.231
Nd 1.960 3.799 1.327
Nd -0.959 6.905 1.675
Au -2.304 4.296 0.764
CELL_PARAMETERS angstrom
-7.117 3.731 -0.170
1.920 3.833 3.729
2.633 4.993 -0.646
! **SG**: Amm2, No. 38

***

Entry 4:
! ZnBrCl PBE relaxed; values from VASP
&SYSTEM
  ibrav = 0, nat = 6, ntyp = 3
/
ATOMIC_SPECIES
Br 79.90 Br.upf
Cl 35.45 Cl.upf
Zn 65.41 Zn.upf
ATOMIC_POSITIONS angstrom
Br 1.911 0.000 10.315
Br 0.000 1.911 1.515
Cl 0.000 1.911 7.215
Cl 1.911 0.000 4.615
Zn 0.000 0.000 5.915
Zn 1.911 1.911 0.000
CELL_PARAMETERS angstrom
3.823 0.000 0.000
0.000 3.823 0.000
0.000 0.000 11.830
! **SG**: P-4m2, No. 115

***

Entry 5:
! ZnCdFeTc PBE relaxed; values from VASP
&SYSTEM
  ibrav = 0, nat = 4, ntyp = 4
/
ATOMIC_SPECIES
Zn 65.41 Zn.upf
Tc 98.00 Tc.upf
Cd 112.41 Cd.upf
Fe 55.84 Fe.upf
ATOMIC_POSITIONS angstrom
Zn 0.000 0.000 0.000
Tc -1.265 -1.534 5.024
Cd -0.632 -0.767 2.512
Fe -1.897 -2.302 7.536
CELL_PARAMETERS angstrom
-0.183 1.279 4.218
-3.240 -1.466 2.611
0.894 -2.881 3.219
! **Offset from the most stable computed form**: 0.00 eV per formula unit
! **SG**: F-43m, No. 216

***

Entry 6:
! KGdCoTe3 PBE relaxed; values from VASP
&SYSTEM
  ibrav = 0, nat = 12, ntyp = 4
/
ATOMIC_SPECIES
Te 127.60 Te.upf
K 39.10 K.upf
Co 58.93 Co.upf
Gd 157.25 Gd.upf
ATOMIC_POSITIONS angstrom
Te 3.733 4.325 5.317
Te 0.639 2.693 1.348
Te -1.261 2.622 4.925
Te -7.342 1.124 8.162
Te -5.442 1.195 4.585
Te -10.436 -0.507 4.193
K -1.419 3.209 9.056
K -5.283 0.608 0.454
Co -5.067 1.705 7.088
Co -1.635 2.112 2.422
Gd 0.000 0.000 0.000
Gd -2.691 -0.101 5.066
CELL_PARAMETERS angstrom
5.997 4.753 3.280
-7.318 -0.735 -3.901
-5.382 -0.202 10.132
! **Offset from the most stable computed form**: 0.12 eV per formula unit
! **SG**: Cmcm, No. 63

***

Ordered total DFT energy (no corrections) results: -8.76 -6.21 -2.80 -2.60 -4.80 -4.55; unit eV per atom.